[1]
Computed, not measured: crystalline BaHg3As3 at its relaxed geometry at the PBE level of DFT.

Properties
The value obtained for the formation energy is -155 meV per atom. Its crystal system is cubic.

Cell lengths 7.5680, 7.5680, 7.5680 Å; angles 90.00, 90.00, 90.00 degrees
Closest atoms and distances in Å follow each position.
Element x y z (fractional)
Hg: 0.5000 0.7500 0.0000  4 As 2.68
Hg: 0.2500 0.0000 0.5000  4 As 2.68
Hg: 0.7500 0.0000 0.5000  4 As 2.68
As: 0.0000 0.7500 0.5000  4 Hg 2.68
Hg: 0.0000 0.5000 0.2500  4 As 2.68
Ba: 0.0000 0.0000 0.0000  12 Hg 4.23, 12 As 4.23
Hg: 0.0000 0.5000 0.7500  4 As 2.68
Hg: 0.5000 0.2500 0.0000  4 As 2.68
Ba: 0.5000 0.5000 0.5000  12 Hg 4.23, 12 As 4.23
As: 0.5000 0.0000 0.7500  4 Hg 2.68
As: 0.7500 0.5000 0.0000  4 Hg 2.68
As: 0.5000 0.0000 0.2500  4 Hg 2.68
As: 0.0000 0.2500 0.5000  4 Hg 2.68
As: 0.2500 0.5000 0.0000  4 Hg 2.68

[2]
Computed, not measured: crystalline La2Pd2I at its relaxed geometry at the PBE level of DFT.

Properties
As for the formation energy without anion corrections: -0.807 eV/atom. The calculation puts the relative energy among the computed polymorphs at 0.67 eV/f.u. Its crystal system is tetragonal.

Cell lengths 4.0121, 4.0121, 9.1231 Å; angles 77.30, 77.30, 90.00 degrees
Closest atoms and distances in Å follow each position.
Element x y z (fractional)
Pd: 0.7500 0.2500 0.5000  4 Pd 2.84, 4 La 2.92
Pd: 0.2500 0.7500 0.5000  4 Pd 2.84, 4 La 2.92
La: 0.3724 0.3724 0.2553  4 Pd 2.92
La: 0.6276 0.6276 0.7447  4 Pd 2.92
I: 0.0000 0.0000 0.0000  8 La 3.60, 4 I 4.01

[3]
Computed, not measured: crystalline BaYC2O6 at its relaxed geometry at the PBE level of DFT.

Properties
As for the formation energy without anion corrections: -2.110 eV/atom. Its crystal system is monoclinic.

Cell lengths 6.4494, 6.4494, 7.0722 Å; angles 103.02, 103.02, 100.27 degrees
Closest atoms and distances in Å follow each position.
Element x y z (fractional)
O: 0.7104 0.4825 0.6040  1 C 1.34
O: 0.1948 0.2344 0.1171  1 C 1.33
O: 0.8052 0.7656 0.8829  1 C 1.33
Ba: 0.8614 0.1386 0.7500  8 O 2.77-2.93
O: 0.4026 0.9305 0.7031  1 C 1.31
O: 0.2896 0.5175 0.3960  1 C 1.34
O: 0.0695 0.5974 0.7969  1 C 1.31
Y: 0.4126 0.5874 0.7500  8 O 2.32-2.50
C: 0.8726 0.6317 0.7502  3 O 1.31-1.34
O: 0.5974 0.0695 0.2969  1 C 1.31
C: 0.3683 0.1274 0.7498  3 O 1.31-1.34
Y: 0.5874 0.4126 0.2500  8 O 2.32-2.50
O: 0.9305 0.4026 0.2031  1 C 1.31
O: 0.7656 0.8052 0.3829  1 C 1.33
O: 0.5175 0.2896 0.8960  1 C 1.34
C: 0.6317 0.8726 0.2502  3 O 1.31-1.34
Ba: 0.1386 0.8614 0.2500  8 O 2.77-2.93
O: 0.2344 0.1948 0.6171  1 C 1.33
C: 0.1274 0.3683 0.2498  3 O 1.31-1.34
O: 0.4825 0.7104 0.1040  1 C 1.34

[4]
Computed, not measured: crystalline CaLa2Au3 at its relaxed geometry at the PBE level of DFT.

Properties
The value obtained for the formation energy is -790 meV per atom. The calculation puts the relative energy among the computed polymorphs at 0.03 eV/f.u. Its crystal system is tetragonal.

Cell lengths 3.7276, 3.7276, 11.3372 Å; angles 90.00, 90.00, 90.00 degrees
Closest atoms and distances in Å follow each position.
Element x y z (fractional)
Au: 0.0000 0.0000 0.6663  4 La 3.21, 4 Ca 3.24
Au: 0.0000 0.0000 0.3337  4 La 3.21, 4 Ca 3.24
Au: 0.0000 0.0000 0.0000  8 La 3.28
La: 0.5000 0.5000 0.1715  8 Au 3.21-3.28
Ca: 0.5000 0.5000 0.5000  8 Au 3.24
La: 0.5000 0.5000 0.8285  8 Au 3.21-3.28

[5]
Computed, not measured: crystalline NdBP2O8 at its relaxed geometry at the PBE level of DFT.

Properties
As for the formation energy without anion corrections: -2.239 eV/atom. Its crystal system is trigonal.

Cell lengths 4.8752, 4.8752, 6.3811 Å; angles 90.00, 90.00, 120.00 degrees
Closest atoms and distances in Å follow each position.
Element x y z (fractional)
B: 0.0000 0.0000 0.0000  6 O 1.70
O: 0.6836 0.8418 0.8361  1 P 1.54, 1 B 1.70
O: 0.3333 0.6667 0.5265  1 P 1.55
P: 0.3333 0.6667 0.7691  4 O 1.54-1.55
O: 0.8418 0.1582 0.1639  1 P 1.54, 1 B 1.70
O: 0.3164 0.1582 0.1639  1 P 1.54, 1 B 1.70
O: 0.1582 0.8418 0.8361  1 P 1.54, 1 B 1.70
O: 0.8418 0.6836 0.1639  1 P 1.54, 1 B 1.70
O: 0.6667 0.3333 0.4735  1 P 1.55
Nd: 0.0000 0.0000 0.5000  12 O 2.53-2.82
P: 0.6667 0.3333 0.2309  4 O 1.54-1.55
O: 0.1582 0.3164 0.8361  1 P 1.54, 1 B 1.70

[6]
Computed, not measured: crystalline PuPaTe4Pd2 at its relaxed geometry at the PBE level of DFT.

Properties
As for the formation energy without anion corrections: -0.592 eV/atom. Its crystal system is orthorhombic.

Cell lengths 7.3423, 6.5193, 6.5193 Å; angles 70.21, 55.73, 55.73 degrees
Closest atoms and distances in Å follow each position.
Element x y z (fractional)
Pa: 0.5000 0.5000 0.5000  8 Te 3.26
Te: 0.4998 0.0002 0.5002  2 Pd 2.68
Pd: 0.1778 0.3222 0.3222  4 Te 2.68, 1 Pd 2.75
Pd: 0.8222 0.6778 0.6778  4 Te 2.68, 1 Pd 2.75
Te: 0.0003 0.9998 0.4998  2 Pd 2.68
Pu: 0.0000 0.0000 0.0000  8 Te 3.26
Te: 0.9997 0.5002 0.0002  2 Pd 2.68
Te: 0.5002 0.4998 0.9998  2 Pd 2.68

[7]
Computed, not measured: crystalline Er2MgTc at its relaxed geometry at the PBE level of DFT.

Properties
The value obtained for the formation energy is -38 meV per atom. Its crystal system is cubic.

Cell lengths 4.9904, 4.9904, 4.9904 Å; angles 60.00, 60.00, 60.00 degrees
Closest atoms and distances in Å follow each position.
Element x y z (fractional)
Er: 0.0000 0.0000 0.0000  4 Tc 3.06, 4 Mg 3.06
Er: 0.5000 0.5000 0.5000  4 Tc 3.06, 4 Mg 3.06
Mg: 0.2500 0.2500 0.2500  8 Er 3.06
Tc: 0.7500 0.7500 0.7500  8 Er 3.06

[8]
Computed, not measured: crystalline NaW2Se at its relaxed geometry at the PBE level of DFT.

Properties
As for the formation energy without anion corrections: 0.842 eV/atom. Its crystal system is tetragonal.

Cell lengths 3.7984, 3.7984, 10.4024 Å; angles 79.48, 79.48, 90.00 degrees
Closest atoms and distances in Å follow each position.
Element x y z (fractional)
Se: 0.0000 0.0000 0.0000  4 Na 2.69, 4 W 2.83
Na: 0.2500 0.7500 0.5000  4 Se 2.69, 4 W 2.87
Na: 0.5000 0.5000 0.0000  4 Se 2.69, 4 W 2.87
W: 0.6384 0.1250 0.2500  4 W 2.62-2.76, 2 Se 2.83, 2 Na 2.87
W: 0.1116 0.6250 0.2500  4 W 2.62-2.76, 2 Se 2.83, 2 Na 2.87
W: 0.3750 0.3617 0.7500  4 W 2.62-2.76, 2 Se 2.83, 2 Na 2.87
Se: 0.7500 0.2500 0.5000  4 Na 2.69, 4 W 2.83
W: 0.8750 0.8884 0.7500  4 W 2.62-2.76, 2 Se 2.83, 2 Na 2.87

[9]
Computed, not measured: crystalline BeH3I at its relaxed geometry at the PBE level of DFT.

Properties
The calculation puts the relative energy among the computed polymorphs at 6.83 eV/f.u. Its crystal system is cubic.

Cell lengths 4.1849, 4.1849, 4.1849 Å; angles 90.00, 90.00, 90.00 degrees
Closest atoms and distances in Å follow each position.
Element x y z (fractional)
H: 0.0000 0.0000 0.5000  2 I 2.09
Be: 0.5000 0.5000 0.5000  12 H 2.96
H: 0.0000 0.5000 0.0000  2 I 2.09
I: 0.0000 0.0000 0.0000  6 H 2.09
H: 0.5000 0.0000 0.0000  2 I 2.09

[10]
Computed, not measured: crystalline Ba2ZnW at its relaxed geometry at the PBE level of DFT.

Properties
The value obtained for the formation energy is 859 meV per atom. Its crystal system is orthorhombic.

Cell lengths 4.7889, 3.4592, 7.9831 Å; angles 77.53, 90.00, 90.00 degrees
Closest atoms and distances in Å follow each position.
Element x y z (fractional)
Ba: 0.5000 0.2700 0.3337  2 Zn 3.32, 4 W 3.42, 2 Ba 3.46
Zn: 0.5000 0.5887 0.6980  2 W 2.64
W: 0.0000 0.6593 0.5558  2 Zn 2.64
Ba: 0.0000 0.9820 0.9125  2 W 3.27-3.28, 4 Zn 3.39, 2 Ba 3.46

[11]
Computed, not measured: crystalline CsScNbNi2 at its relaxed geometry at the PBE level of DFT.

Properties
The value obtained for the formation energy is 2062 meV per atom. Its crystal system is tetragonal.

Cell lengths 4.7153, 5.1374, 4.7153 Å; angles 90.00, 90.00, 90.00 degrees
Closest atoms and distances in Å follow each position.
Element x y z (fractional)
Sc: 0.0000 0.5000 0.0000  2 Cs 2.57
Ni: 0.0000 0.0000 0.5000  2 Cs 2.36
Nb: 0.5000 0.5000 0.5000  4 Sc 3.33, 8 Ni 3.49
Ni: 0.5000 0.0000 0.0000  2 Cs 2.36
Cs: 0.0000 0.0000 0.0000  4 Ni 2.36, 2 Sc 2.57

[12]
Computed, not measured: crystalline YHoAgRh at its relaxed geometry at the PBE level of DFT.

Properties
The value obtained for the formation energy is -578 meV per atom. The calculation puts the relative energy among the computed polymorphs at 0.08 eV/f.u. Its crystal system is cubic.

Cell lengths 4.9837, 4.9837, 4.9837 Å; angles 60.00, 60.00, 60.00 degrees
Closest atoms and distances in Å follow each position.
Element x y z (fractional)
Rh: 0.5000 0.5000 0.5000  4 Y 3.05, 4 Ho 3.05
Ho: 0.2500 0.2500 0.2500  4 Rh 3.05, 4 Ag 3.05
Ag: 0.0000 0.0000 0.0000  4 Ho 3.05, 4 Y 3.05
Y: 0.7500 0.7500 0.7500  4 Rh 3.05, 4 Ag 3.05

[13]
Computed, not measured: crystalline K2HgOsO4 at its relaxed geometry at the PBE level of DFT.

Properties
As for the formation energy without anion corrections: -1.129 eV/atom. Its crystal system is tetragonal.

Cell lengths 6.7001, 6.7001, 6.7001 Å; angles 78.99, 126.55, 126.55 degrees
Closest atoms and distances in Å follow each position.
Element x y z (fractional)
K: 0.0000 0.0000 0.0000  4 O 2.72
Hg: 0.5000 0.2500 0.7500  4 O 3.26
Os: 0.0000 0.5000 0.5000  4 O 1.80
O: 0.3859 0.7031 0.7990  1 Os 1.80
O: 0.9042 0.2010 0.5870  1 Os 1.80
K: 0.5000 0.7500 0.2500  4 O 2.67
O: 0.6141 0.4130 0.3172  1 Os 1.80
O: 0.0958 0.6828 0.2969  1 Os 1.80

[14]
Computed, not measured: crystalline TbP3Os3 at its relaxed geometry at the PBE level of DFT.

Properties
The value obtained for the formation energy is -115 meV per atom. Its crystal system is cubic.

Cell lengths 6.4326, 6.4326, 6.4326 Å; angles 90.00, 90.00, 90.00 degrees
Closest atoms and distances in Å follow each position.
Element x y z (fractional)
Tb: 0.0000 0.0000 0.0000  12 Os 3.60, 12 P 3.60
P: 0.5000 0.0000 0.7500  4 Os 2.27
P: 0.7500 0.5000 0.0000  4 Os 2.27
P: 0.0000 0.7500 0.5000  4 Os 2.27
Os: 0.5000 0.2500 0.0000  4 P 2.27
Os: 0.2500 0.0000 0.5000  4 P 2.27
Os: 0.7500 0.0000 0.5000  4 P 2.27
P: 0.0000 0.2500 0.5000  4 Os 2.27
Os: 0.0000 0.5000 0.2500  4 P 2.27
Os: 0.0000 0.5000 0.7500  4 P 2.27
P: 0.2500 0.5000 0.0000  4 Os 2.27
Tb: 0.5000 0.5000 0.5000  12 Os 3.60, 12 P 3.60
P: 0.5000 0.0000 0.2500  4 Os 2.27
Os: 0.5000 0.7500 0.0000  4 P 2.27

[15]
Computed, not measured: crystalline Zr2CoHg at its relaxed geometry at the PBE level of DFT.

Properties
The value obtained for the formation energy is 29 meV per atom. Its crystal system is tetragonal.

Cell lengths 5.3636, 5.3636, 5.3636 Å; angles 135.19, 135.19, 65.24 degrees
Closest atoms and distances in Å follow each position.
Element x y z (fractional)
Co: 0.5000 0.5000 0.0000  8 Zr 2.89-3.05, 4 Hg 3.05
Zr: 0.0000 0.0000 0.0000  4 Co 2.89, 4 Hg 3.05, 4 Zr 3.05
Hg: 0.7500 0.2500 0.5000  8 Zr 2.89-3.05, 4 Co 3.05
Zr: 0.2500 0.7500 0.5000  4 Hg 2.89, 4 Zr 3.05, 4 Co 3.05

[16]
Computed, not measured: crystalline Ac2YH12Rh3 at its relaxed geometry at the PBE level of DFT.

Properties
Its crystal system is trigonal.

Cell lengths 6.2266, 6.2266, 6.2266 Å; angles 66.06, 66.06, 66.06 degrees
Closest atoms and distances in Å follow each position.
Element x y z (fractional)
H: 0.2870 0.2870 0.8988  2 Rh 1.79
Ac: 0.3820 0.3820 0.3820  3 H 2.35
H: 0.1251 0.1251 0.6007  1 Rh 1.70
H: 0.7130 0.7130 0.1012  2 Rh 1.79
H: 0.8749 0.3993 0.8749  1 Rh 1.70
H: 0.1251 0.6007 0.1251  1 Rh 1.70
H: 0.8749 0.8749 0.3993  1 Rh 1.70
H: 0.6007 0.1251 0.1251  1 Rh 1.70
Rh: 0.0000 0.0000 0.5000  6 H 1.70-1.79
H: 0.3993 0.8749 0.8749  1 Rh 1.70
Ac: 0.6180 0.6180 0.6180  3 H 2.35
Rh: 0.0000 0.5000 0.0000  6 H 1.70-1.79
H: 0.7130 0.1012 0.7130  2 Rh 1.79
H: 0.2870 0.8988 0.2870  2 Rh 1.79
H: 0.8988 0.2870 0.2870  2 Rh 1.79
Y: 0.0000 0.0000 0.0000  6 H 2.18
H: 0.1012 0.7130 0.7130  2 Rh 1.79
Rh: 0.5000 0.0000 0.0000  6 H 1.70-1.79

[17]
Computed, not measured: crystalline Si2SbW at its relaxed geometry at the PBE level of DFT.

Properties
As for the formation energy without anion corrections: 0.783 eV/atom. Its crystal system is tetragonal.

Cell lengths 4.9631, 4.9631, 4.9631 Å; angles 130.97, 130.97, 71.86 degrees
Closest atoms and distances in Å follow each position.
Element x y z (fractional)
W: 0.5000 0.5000 0.0000  4 Sb 2.88, 8 Si 2.88-2.91
Sb: 0.7500 0.2500 0.5000  8 Si 2.88-2.91, 4 W 2.88
Si: 0.0000 0.0000 0.0000  4 Sb 2.88, 4 Si 2.88, 4 W 2.91
Si: 0.2500 0.7500 0.5000  4 W 2.88, 4 Si 2.88, 4 Sb 2.91

[18]
Computed, not measured: crystalline TaCdSn2 at its relaxed geometry at the PBE level of DFT.

Properties
The value obtained for the formation energy is 594 meV per atom. The calculation puts the relative energy among the computed polymorphs at 0.61 eV/f.u. Its crystal system is tetragonal.

Cell lengths 8.0242, 8.0242, 6.4322 Å; angles 51.41, 51.41, 90.00 degrees
Closest atoms and distances in Å follow each position.
Element x y z (fractional)
Sn: 0.1087 0.6250 0.2500  2 Ta 2.85, 2 Cd 3.03, 2 Sn 3.04
Ta: 0.0000 0.0000 0.0000  4 Sn 2.85, 2 Cd 3.03
Sn: 0.6413 0.1250 0.2500  2 Ta 2.85, 2 Cd 3.03, 2 Sn 3.04
Ta: 0.7500 0.2500 0.5000  4 Sn 2.85, 2 Cd 3.03
Sn: 0.8750 0.8913 0.7500  2 Ta 2.85, 2 Cd 3.03, 2 Sn 3.04
Cd: 0.2500 0.7500 0.5000  4 Sn 3.03, 2 Ta 3.03
Cd: 0.5000 0.5000 0.0000  4 Sn 3.03, 2 Ta 3.03
Sn: 0.3750 0.3587 0.7500  2 Ta 2.85, 2 Cd 3.03, 2 Sn 3.04

[19]
Computed, not measured: crystalline CaHo3Ga2 at its relaxed geometry at the PBE level of DFT.

Properties
The value obtained for the formation energy is -404 meV per atom. Its crystal system is orthorhombic.

Cell lengths 5.0755, 6.6747, 9.1249 Å; angles 90.00, 90.00, 90.00 degrees
Closest atoms and distances in Å follow each position.
Element x y z (fractional)
Ga: 0.0000 0.2668 0.6591  5 Ho 3.00-3.11, 2 Ca 3.21
Ga: 0.0000 0.7668 0.3409  5 Ho 3.00-3.11, 2 Ca 3.21
Ho: 0.0000 0.8113 0.6732  4 Ga 3.04-3.06, 1 Ho 3.40
Ho: 0.0000 0.4863 0.9599  3 Ga 3.11-3.18, 7 Ho 3.40-3.48
Ga: 0.5000 0.7300 0.8499  6 Ho 2.97-3.18, 1 Ca 3.13
Ho: 0.5000 0.1892 0.8259  4 Ga 2.97-3.07
Ca: 0.5000 0.5163 0.5440  3 Ga 3.13-3.21, 5 Ho 3.37-3.50, 2 Ca 3.43
Ca: 0.5000 0.0163 0.4560  3 Ga 3.13-3.21, 5 Ho 3.37-3.50, 2 Ca 3.43
Ho: 0.5000 0.6892 0.1741  4 Ga 2.97-3.07
Ho: 0.0000 0.3113 0.3268  4 Ga 3.04-3.06, 1 Ho 3.40
Ga: 0.5000 0.2300 0.1501  6 Ho 2.97-3.18, 1 Ca 3.13
Ho: 0.0000 0.9863 0.0401  3 Ga 3.11-3.18, 7 Ho 3.40-3.48

[20]
Computed, not measured: crystalline Rb2Br7N at its relaxed geometry at the PBE level of DFT.

Properties
As for the formation energy without anion corrections: -0.228 eV/atom. Its crystal system is tetragonal.

Cell lengths 7.6442, 7.6442, 7.4653 Å; angles 59.20, 59.20, 90.00 degrees
Closest atoms and distances in Å follow each position.
Element x y z (fractional)
N: 0.5000 0.5000 0.0000  6 Br 2.40-2.43
Br: 0.7248 0.7248 0.0000  1 N 2.43
Br: 0.0000 0.0000 0.0000  6 Br 2.75-2.98
Rb: 0.7500 0.2500 0.5000  12 Br 3.74-3.83
Rb: 0.2500 0.7500 0.5000  12 Br 3.74-3.83
Br: 0.2752 0.2752 0.0000  1 N 2.43
Br: 0.2666 0.2666 0.4669  1 N 2.40
Br: 0.2752 0.7248 0.0000  1 N 2.43
Br: 0.7334 0.7334 0.5331  1 N 2.40
Br: 0.7248 0.2752 0.0000  1 N 2.43

Table of total energy (eV/atom), in record order: -2.552; -5.165; -7.768; -4.404; -7.399; -6.440; -5.310; -6.836; -1.709; -3.660; -3.702; -5.889; -5.324; -7.908; -6.097; -4.666; -6.197; -4.599; -4.035; -2.425
Table of magnetic moment (Bohr magnetons per cell), in record order: 0.0; 0.0; 1.8; 0.0; 0.0; 6.5; 0.0; 0.0; 0.0; 0.0; 2.7; 0.0; 0.0; 0.0; 0.2; 0.0; 0.3; 0.0; 0.0; 0.0